(1)
The following is a DFT calculation (PBE) of a relaxed Er3Cu3Ni8 crystal.

Results
Energy, eV for the cell shown: -76.1
ΔE_f, eV per atom: -0.278
Total magnetization, μB/f.u.: 0.0

```
data_Er3Cu3Ni8
_symmetry_space_group_name_H-M 'P 1'
_symmetry_Int_Tables_number 1
_cell_length_a 3.997
_cell_length_b 7.612
_cell_length_c 7.612
_cell_angle_alpha 67.82
_cell_angle_beta 74.78
_cell_angle_gamma 74.78
loop_
_symmetry_equiv_pos_as_xyz
'x,y,z'
loop_
_atom_site_label
_atom_site_type_symbol
_atom_site_fract_x
_atom_site_fract_y
_atom_site_fract_z
Er1 Er 0.500 0.500 0.500
Er2 Er 0.807 0.193 0.193
Er3 Er 0.193 0.807 0.807
Cu1 Cu 0.500 0.000 0.000
Cu2 Cu 0.000 0.785 0.215
Cu3 Cu 0.000 0.215 0.785
Ni1 Ni 0.618 0.110 0.653
Ni2 Ni 0.382 0.890 0.347
Ni3 Ni 0.618 0.653 0.110
Ni4 Ni 0.382 0.347 0.890
Ni5 Ni 0.817 0.830 0.537
Ni6 Ni 0.183 0.170 0.463
Ni7 Ni 0.817 0.537 0.830
Ni8 Ni 0.183 0.463 0.170
```


(2)
The following is a DFT calculation (PBE) of a relaxed TlB3Pb crystal.

Results
Energy, eV for the cell shown: -14.7
ΔE_f, eV per atom: 2.273
Polymorph energy (0 for the lowest one), eV/atom: 0.000
Total magnetization, μB/f.u.: 0.0

```
data_TlB3Pb
_symmetry_space_group_name_H-M 'P 1'
_symmetry_Int_Tables_number 1
_cell_length_a 4.646
_cell_length_b 4.646
_cell_length_c 4.646
_cell_angle_alpha 90.00
_cell_angle_beta 90.00
_cell_angle_gamma 90.00
loop_
_symmetry_equiv_pos_as_xyz
'x,y,z'
loop_
_atom_site_label
_atom_site_type_symbol
_atom_site_fract_x
_atom_site_fract_y
_atom_site_fract_z
Pb1 Pb 0.500 0.500 0.500
Tl1 Tl 0.000 0.000 0.000
B1 B 0.000 0.500 0.000
B2 B 0.000 0.000 0.500
B3 B 0.500 0.000 0.000
```


(3)
The following is a DFT calculation (PBE) of a relaxed BaTaPb2 crystal.

Results
Energy, eV for the cell shown: -38.2
ΔE_f, eV per atom: 0.520
Total magnetization, μB/f.u.: 1.0

```
data_BaTaPb2
_symmetry_space_group_name_H-M 'P 1'
_symmetry_Int_Tables_number 1
_cell_length_a 6.096
_cell_length_b 6.096
_cell_length_c 9.987
_cell_angle_alpha 72.23
_cell_angle_beta 72.23
_cell_angle_gamma 90.00
loop_
_symmetry_equiv_pos_as_xyz
'x,y,z'
loop_
_atom_site_label
_atom_site_type_symbol
_atom_site_fract_x
_atom_site_fract_y
_atom_site_fract_z
Pb1 Pb 0.796 0.125 0.250
Pb2 Pb 0.954 0.625 0.250
Pb3 Pb 0.375 0.204 0.750
Pb4 Pb 0.875 0.046 0.750
Ba1 Ba 0.500 0.500 0.000
Ba2 Ba 0.250 0.750 0.500
Ta1 Ta 0.000 0.000 0.000
Ta2 Ta 0.750 0.250 0.500
```